1.
Tm12Ag5Pb3 | PBE | relaxed

Cell lengths 14.9585, 14.9585, 14.9585 Å; angles 109.47, 109.47, 109.47 degrees
Positions (direct):
1 Pb 0.7500 0.3750 0.1250
2 Pb 0.8750 0.7500 0.1250
3 Pb 0.3750 0.7500 0.6250
4 Pb 0.2500 0.1250 0.3750
5 Pb 0.8750 0.1250 0.2500
6 Pb 0.3750 0.6250 0.2500
7 Pb 0.6250 0.3750 0.7500
8 Pb 0.1250 0.8750 0.7500
9 Pb 0.7500 0.8750 0.6250
10 Pb 0.6250 0.2500 0.3750
11 Pb 0.1250 0.2500 0.8750
12 Pb 0.2500 0.6250 0.8750
13 Ag 0.1250 0.3750 0.2500
14 Ag 0.0000 0.5000 0.0000
15 Ag 0.0000 0.0000 0.0000
16 Ag 0.3750 0.2500 0.1250
17 Ag 0.5000 0.0000 0.5000
18 Ag 0.5000 0.5000 0.0000
19 Ag 0.1250 0.7500 0.3750
20 Ag 0.7500 0.1250 0.8750
21 Ag 0.7500 0.6250 0.3750
22 Ag 0.3750 0.1250 0.7500
23 Ag 0.6250 0.8750 0.2500
24 Ag 0.5000 0.5000 0.5000
25 Ag 0.5000 0.0000 0.0000
26 Ag 0.0000 0.0000 0.5000
27 Ag 0.2500 0.3750 0.6250
28 Ag 0.2500 0.8750 0.1250
29 Ag 0.0000 0.5000 0.5000
30 Ag 0.8750 0.2500 0.6250
31 Ag 0.6250 0.7500 0.8750
32 Ag 0.8750 0.6250 0.7500
33 Tm 0.7153 0.1244 0.0469
34 Tm 0.3316 0.5469 0.4225
35 Tm 0.9531 0.3756 0.2847
36 Tm 0.5469 0.2153 0.1244
37 Tm 0.5909 0.7153 0.6684
38 Tm 0.9531 0.5775 0.1684
39 Tm 0.3316 0.7847 0.4091
40 Tm 0.0775 0.9091 0.1244
41 Tm 0.5775 0.9531 0.6684
42 Tm 0.7153 0.5909 0.1684
43 Tm 0.7847 0.4531 0.3756
44 Tm 0.8316 0.9225 0.0469
45 Tm 0.1244 0.7153 0.5469
46 Tm 0.3756 0.4225 0.0909
47 Tm 0.0909 0.9225 0.3756
48 Tm 0.4091 0.1244 0.5775
49 Tm 0.0909 0.1684 0.2153
50 Tm 0.4531 0.6684 0.0775
51 Tm 0.8316 0.9091 0.2847
52 Tm 0.1244 0.4091 0.0775
53 Tm 0.3756 0.9531 0.7847
54 Tm 0.5775 0.6244 0.4091
55 Tm 0.9225 0.8316 0.5469
56 Tm 0.7847 0.3316 0.9091
57 Tm 0.4225 0.3756 0.5909
58 Tm 0.0775 0.1684 0.4531
59 Tm 0.2153 0.6684 0.0909
60 Tm 0.1684 0.0909 0.7153
61 Tm 0.6244 0.0469 0.2153
62 Tm 0.8756 0.5909 0.9225
63 Tm 0.5469 0.3316 0.9225
64 Tm 0.5909 0.8756 0.4225
65 Tm 0.9091 0.8316 0.7847
66 Tm 0.9091 0.0775 0.6244
67 Tm 0.8756 0.2847 0.4531
68 Tm 0.1684 0.0775 0.9531
69 Tm 0.6244 0.5775 0.9091
70 Tm 0.4225 0.0469 0.3316
71 Tm 0.2847 0.4091 0.8316
72 Tm 0.2153 0.5469 0.6244
73 Tm 0.9225 0.0909 0.8756
74 Tm 0.6684 0.2153 0.5909
75 Tm 0.4531 0.7847 0.8756
76 Tm 0.0469 0.4225 0.8316
77 Tm 0.4091 0.2847 0.3316
78 Tm 0.0469 0.6244 0.7153
79 Tm 0.6684 0.4531 0.5775
80 Tm 0.2847 0.8756 0.9531

Values from the calculation:
Volume (A^3/atom): 32.21
Total DFT energy (no corrections) (eV per atom): -3.8249
Space-group type: No. 230
Energy of formation from the pure elements (eV/atom): 0.13


2.
Nd2Ag2Pd3 | PBE | relaxed

Cell lengths 4.3969, 7.1599, 5.4565 Å; angles 107.46, 113.76, 90.00 degrees
Positions (direct):
1 Nd 0.3687 0.2213 0.7374
2 Nd 0.6313 0.7787 0.2626
3 Ag 0.1227 0.4326 0.2453
4 Ag 0.8773 0.5674 0.7547
5 Pd 0.0000 0.0000 0.0000
6 Pd 0.3426 0.7998 0.6852
7 Pd 0.6574 0.2002 0.3148

Values from the calculation:
Volume (A^3/atom): 21.22
Total DFT energy (no corrections) (eV per atom): -4.9664
Space-group type: No. 12
Energy of formation from the pure elements (eV/atom): -0.56


3.
BaHg6Pb8 | PBE | relaxed

Cell lengths 9.2486, 9.2486, 8.4750 Å; angles 56.93, 56.93, 60.00 degrees
Positions (direct):
1 Ba 0.0000 0.0000 0.0000
2 Hg 0.3984 0.0967 0.7866
3 Hg 0.9033 0.2816 0.2134
4 Hg 0.2816 0.6016 0.2134
5 Hg 0.7184 0.3984 0.7866
6 Hg 0.0967 0.7184 0.7866
7 Hg 0.6016 0.9033 0.2134
8 Pb 0.5469 0.2236 0.3115
9 Pb 0.7764 0.0821 0.6885
10 Pb 0.0821 0.4531 0.6885
11 Pb 0.6701 0.6701 0.9897
12 Pb 0.3299 0.3299 0.0103
13 Pb 0.9179 0.5469 0.3115
14 Pb 0.2236 0.9179 0.3115
15 Pb 0.4531 0.7764 0.6885

Values from the calculation:
Volume (A^3/atom): 32.50
Total DFT energy (no corrections) (eV per atom): -2.2380
Space-group type: No. 148
Energy of formation from the pure elements (eV/atom): -0.01


4.
NbFeCoNi2 | PBE | relaxed

Cell lengths 4.2249, 4.0426, 4.2249 Å; angles 90.00, 90.00, 90.00 degrees
Last column: magnetic moment on the atom in μB.
Positions (direct):
1 Ni 0.0000 0.0000 0.5000  0.24
2 Ni 0.5000 0.0000 0.0000  0.13
3 Nb 0.5000 0.5000 0.5000  -0.04
4 Co 0.0000 0.0000 0.0000  0.85
5 Fe 0.0000 0.5000 0.0000  0.05

Values from the calculation:
Volume (A^3/atom): 14.43
Total DFT energy (no corrections) (eV per atom): -6.4163
Space-group type: No. 123
Energy of formation from the pure elements (eV/atom): 1.02


5.
Nb2HgPtCl | PBE | relaxed

Cell lengths 4.4776, 5.1470, 4.4776 Å; angles 90.00, 90.00, 90.00 degrees
Positions (direct):
1 Nb 0.0000 0.0000 0.5000
2 Nb 0.5000 0.0000 0.0000
3 Hg 0.0000 0.5000 0.0000
4 Pt 0.5000 0.5000 0.5000
5 Cl 0.0000 0.0000 0.0000

Values from the calculation:
Volume (A^3/atom): 20.64
Total DFT energy (no corrections) (eV per atom): -4.7681
Formation energy from raw total energies (eV/f.u.): 4.49
Space-group type: No. 123


6.
BaLiCu | PBE | relaxed

Cell lengths 5.3502, 5.3502, 5.3502 Å; angles 60.00, 60.00, 60.00 degrees
Positions (direct):
1 Ba 0.7500 0.7500 0.7500
2 Cu 0.0000 0.0000 0.0000
3 Li 0.5000 0.5000 0.5000

Values from the calculation:
Volume (A^3/atom): 36.10
Total DFT energy (no corrections) (eV per atom): -2.1267
Space-group type: No. 216
Energy of formation from the pure elements (eV/atom): 0.52


7.
NaTmPa2O8 | PBE | relaxed

Cell lengths 5.9299, 5.9299, 5.3235 Å; angles 90.00, 90.00, 120.00 degrees
Last column: magnetic moment on the atom in μB.
Positions (direct):
1 Na 0.0000 0.0000 0.0000  0.00
2 Tm 0.0000 0.0000 0.5000  -0.01
3 Pa 0.6667 0.3333 0.0685  0.05
4 Pa 0.3333 0.6667 0.9315  0.05
5 O 0.9492 0.6609 0.8049  0.15
6 O 0.3391 0.2883 0.8049  0.15
7 O 0.7117 0.0508 0.8049  0.15
8 O 0.0508 0.3391 0.1951  0.15
9 O 0.6609 0.7117 0.1951  0.15
10 O 0.2883 0.9492 0.1951  0.15
11 O 0.6667 0.3333 0.4340  0.38
12 O 0.3333 0.6667 0.5660  0.38

Values from the calculation:
Volume (A^3/atom): 13.51
Total DFT energy (no corrections) (eV per atom): -7.7836
Formation energy from raw total energies (eV/f.u.): -28.96
Space-group type: No. 147


8.
CaThInSn | PBE | relaxed

Cell lengths 5.4661, 5.4661, 5.4661 Å; angles 60.00, 60.00, 60.00 degrees
Positions (direct):
1 Ca 0.7500 0.7500 0.7500
2 Sn 0.5000 0.5000 0.5000
3 Th 0.2500 0.2500 0.2500
4 In 0.0000 0.0000 0.0000

Values from the calculation:
Volume (A^3/atom): 28.87
Total DFT energy (no corrections) (eV per atom): -4.4049
Space-group type: No. 216
Energy of formation from the pure elements (eV/atom): -0.36


9.
BaAlCl2 | PBE | relaxed

Cell lengths 9.3936, 9.3936, 9.3936 Å; angles 29.28, 29.28, 29.28 degrees
Positions (direct):
1 Al 0.0000 0.0000 0.0000
2 Ba 0.5000 0.5000 0.5000
3 Cl 0.8851 0.8851 0.8851
4 Cl 0.1149 0.1149 0.1149

Values from the calculation:
Volume (A^3/atom): 43.86
Total DFT energy (no corrections) (eV per atom): -3.5353
Formation energy from raw total energies (eV/f.u.): -4.78
Space-group type: No. 166


10.
BaLaUN4 | PBE | relaxed

Cell lengths 6.1342, 6.1404, 7.2199 Å; angles 90.00, 115.14, 90.00 degrees
Positions (direct):
1 Ba 0.6004 0.7500 0.2008
2 Ba 0.3996 0.2500 0.7992
3 La 0.1060 0.2500 0.2121
4 La 0.8940 0.7500 0.7879
5 U 0.2453 0.7500 0.4905
6 U 0.7547 0.2500 0.5095
7 N 0.9219 0.2500 0.8437
8 N 0.3991 0.7500 0.7982
9 N 0.0781 0.7500 0.1563
10 N 0.6009 0.2500 0.2018
11 N 0.5000 0.5000 0.5000
12 N 0.0000 0.0000 0.5000
13 N 0.5000 0.0000 0.5000
14 N 0.0000 0.5000 0.5000

Values from the calculation:
Volume (A^3/atom): 17.59
Total DFT energy (no corrections) (eV per atom): -8.3897
Formation energy from raw total energies (eV/f.u.): -7.29
Space-group type: No. 63


11.
Rb3TeF | PBE | relaxed

Cell lengths 5.5962, 5.5962, 5.5962 Å; angles 90.00, 90.00, 90.00 degrees
Positions (direct):
1 Te 0.5000 0.5000 0.5000
2 Rb 0.0000 0.5000 0.0000
3 Rb 0.0000 0.0000 0.5000
4 Rb 0.5000 0.0000 0.0000
5 F 0.0000 0.0000 0.0000

Values from the calculation:
Volume (A^3/atom): 35.05
Total DFT energy (no corrections) (eV per atom): -3.2630
Formation energy from raw total energies (eV/f.u.): -8.40
Space-group type: No. 221


12.
Ac2Ga3Ni | PBE | relaxed

Cell lengths 6.3255, 6.3255, 8.8240 Å; angles 112.03, 112.03, 87.33 degrees
Positions (direct):
1 Ac 0.2500 0.7500 0.5000
2 Ac 0.7417 0.7417 0.0000
3 Ac 0.7500 0.2500 0.5000
4 Ac 0.2583 0.2583 0.0000
5 Ga 0.6580 0.1694 0.8275
6 Ga 0.8306 0.3420 0.1725
7 Ga 0.3420 0.8306 0.1725
8 Ga 0.1694 0.6580 0.8275
9 Ga 0.8278 0.8278 0.6556
10 Ga 0.1722 0.1722 0.3444
11 Ni 0.3341 0.3341 0.6682
12 Ni 0.6659 0.6659 0.3318

Values from the calculation:
Volume (A^3/atom): 25.13
Total DFT energy (no corrections) (eV per atom): -4.3776
Space-group type: No. 69
Energy of formation from the pure elements (eV/atom): -0.53


Number 1: magnetization 0.00 Bohr magnetons per cell. Number 2: magnetization 0.00 Bohr magnetons per cell. Number 3: magnetization 0.00 Bohr magnetons per cell. Number 4: magnetization 1.20 Bohr magnetons per cell. Number 5: magnetization 0.00 Bohr magnetons per cell. Number 6: magnetization 0.00 Bohr magnetons per cell. Number 7: magnetization 1.98 Bohr magnetons per cell. Number 8: magnetization 0.00 Bohr magnetons per cell. Number 9: magnetization 0.00 Bohr magnetons per cell. Number 10: magnetization 0.01 Bohr magnetons per cell. Number 11: magnetization 0.00 Bohr magnetons per cell. Number 12: magnetization 0.00 Bohr magnetons per cell.